1.
First-principles (GGA-PBE) data for a relaxed LiLa2Si2 crystal, as listed in the Alexandria database.

Cell lengths 11.0952, 4.5053, 10.8596 Å; angles 90.00, 118.60, 90.00 degrees
Space group C2/m (No. 12)
One atom of each set of equivalent atoms:
Li (0.2313, 0.0000, 0.3650)
La (0.0181, 0.5000, 0.3313)
La (0.1910, 0.5000, 0.0985)
Si (0.0066, 0.0000, 0.8896)
Si (0.1246, 0.0000, 0.5700)

Properties
* calculated total energy: -5.13 eV/atom
* uncorrected formation energy: -610 meV per atom

2.
First-principles (GGA-PBE) data for a relaxed RuPb3O6 crystal, as listed in the Alexandria database.

Cell lengths 5.6999, 6.3336, 10.1370 Å; angles 90.00, 123.50, 90.00 degrees
Space group P2_1/c (No. 14)
One atom of each set of equivalent atoms:
Ru (0.0000, 0.0000, 0.0000)
Pb (0.2801, 0.0386, 0.7732)
Pb (0.5000, 0.0000, 0.5000)
O (0.1045, 0.0871, 0.2127)
O (0.2549, 0.7437, 0.5902)
O (0.3202, 0.1568, 0.0229)

Properties
* calculated total energy: -6.01 eV/atom
* uncorrected formation energy: -997 meV per atom

3.
First-principles (GGA-PBE) data for a relaxed PbI2NO crystal, as listed in the Alexandria database.

Cell lengths 6.3979, 6.3979, 4.1484 Å; angles 90.00, 90.00, 90.00 degrees
Space group P4/mmm (No. 123)
One atom of each set of equivalent atoms:
Pb (0.0000, 0.0000, 0.0000)
I (0.0000, 0.5000, 0.0000)
N (0.5000, 0.5000, 0.5000)
O (0.0000, 0.0000, 0.5000)

Properties
* calculated total energy: -3.10 eV/atom
* uncorrected formation energy: 918 meV per atom
* E above lowest polymorph: 0.013 eV per atom

4.
First-principles (GGA-PBE) data for a relaxed Ac5LaTbNd2 crystal, as listed in the Alexandria database.

Cell lengths 9.4521, 9.4521, 16.7055 Å; angles 90.00, 90.00, 90.00 degrees
Space group I4/mcm (No. 140)
One atom of each set of equivalent atoms:
Ac (0.0000, 0.0000, 0.0000)
Ac (0.2094, 0.2906, 0.1378)
La (0.0000, 0.0000, 0.2500)
Tb (0.0000, 0.5000, 0.2500)
Nd (0.1103, 0.3897, 0.5000)

Properties
* calculated total energy: -4.11 eV/atom
* DFT formation energy: 296 meV per atom

5.
First-principles (GGA-PBE) data for a relaxed TlHRu2 crystal, as listed in the Alexandria database.

Cell lengths 6.1940, 6.1940, 6.1940 Å; angles 90.00, 90.00, 90.00 degrees
Space group Fm-3m (No. 225)
One atom of each set of equivalent atoms:
Tl (0.0000, 0.0000, 0.0000)
H (0.0000, 0.0000, 0.5000)
Ru (0.2500, 0.2500, 0.2500)

Properties
* calculated total energy: -4.86 eV/atom
* E above lowest polymorph: 0.652 eV per atom

6.
First-principles (GGA-PBE) data for a relaxed Rb2LiTi crystal, as listed in the Alexandria database.

Cell lengths 10.2733, 10.2733, 7.0965 Å; angles 90.00, 90.00, 90.00 degrees
Space group I-42d (No. 122)
One atom of each set of equivalent atoms:
Rb (0.2234, 0.2500, 0.1250)
Li (0.0000, 0.0000, 0.0000)
Ti (0.0000, 0.0000, 0.5000)

Properties
* calculated total energy: -1.91 eV/atom
* DFT formation energy: 1025 meV per atom
* E above lowest polymorph: 0.034 eV per atom